! RbLi2Ti (PBE-GGA, optimized geometry); values from VASP
! Energy relative to the elements ... 351 kJ/mol of formula units
! Raw total energy ... -2.26 eV per atom
! Density of states at the Fermi level ... 3.717 states/eV/f.u.
! Polymorph energy (0 for the lowest one) ... 55 meV per atom
! SG ... I-42d (122)
! Volume ... 32.35 Å³/atom
! Theoretical density ... 1889 kg/m3
&SYSTEM
  ibrav = 0, nat = 8, ntyp = 3
/
ATOMIC_SPECIES
Rb 85.47 Rb.upf
Li 6.94 Li.upf
Ti 47.87 Ti.upf
CELL_PARAMETERS angstrom
8.537 0.000 0.000
0.000 8.537 0.000
4.269 4.269 3.551
ATOMIC_POSITIONS angstrom
Rb 0.000 0.000 0.000
Li 2.475 6.403 0.888
Li 10.671 10.331 2.663
Li 6.403 6.744 2.663
Ti 4.269 4.269 0.000
Rb 8.537 4.269 1.775
Ti 4.269 8.537 1.775
Li 6.062 2.134 0.888


! RbLi3Ti (PBE-GGA, optimized geometry); values from VASP
! Energy relative to the elements ... 559 kJ/mol of formula units
! Raw total energy ... -1.76 eV per atom
! Density of states at the Fermi level ... 5.290 states/eV/f.u.
! Polymorph energy (0 for the lowest one) ... 365 meV per atom
! SG ... Pm-3m (221)
! Volume ... 27.85 Å³/atom
! Theoretical density ... 1839 kg/m3
&SYSTEM
  ibrav = 0, nat = 5, ntyp = 3
/
ATOMIC_SPECIES
Ti 47.87 Ti.upf
Li 6.94 Li.upf
Rb 85.47 Rb.upf
CELL_PARAMETERS angstrom
5.183 0.000 0.000
0.000 5.183 0.000
0.000 0.000 5.183
ATOMIC_POSITIONS angstrom
Ti 2.591 2.591 2.591
Li 2.591 0.000 0.000
Rb 0.000 0.000 0.000
Li 0.000 2.591 0.000
Li 0.000 0.000 2.591


! RbLi2Ti (PBE-GGA, optimized geometry); values from VASP
! Energy relative to the elements ... 329 kJ/mol of formula units
! Raw total energy ... -2.32 eV per atom
! Density of states at the Fermi level ... 3.653 states/eV/f.u.
! Polymorph energy (0 for the lowest one) ... 0 meV per atom
! SG ... Fm-3m (225)
! Volume ... 31.77 Å³/atom
! Theoretical density ... 1924 kg/m3
&SYSTEM
  ibrav = 0, nat = 4, ntyp = 3
/
ATOMIC_SPECIES
Li 6.94 Li.upf
Ti 47.87 Ti.upf
Rb 85.47 Rb.upf
CELL_PARAMETERS angstrom
0.000 3.990 3.990
3.990 0.000 3.990
3.990 3.990 0.000
ATOMIC_POSITIONS angstrom
Li 1.995 1.995 1.995
Ti 0.000 0.000 0.000
Li 5.986 5.986 5.986
Rb 3.990 3.990 3.990


! RbLiTl (PBE-GGA, optimized geometry); values from VASP
! Energy relative to the elements ... -7 kJ/mol of formula units
! Raw total energy ... -1.77 eV per atom
! Density of states at the Fermi level ... 1.130 states/eV/f.u.
! Polymorph energy (0 for the lowest one) ... 4 meV per atom
! SG ... Ima2 (46)
! Volume ... 40.98 Å³/atom
! Theoretical density ... 4008 kg/m3
&SYSTEM
  ibrav = 0, nat = 18, ntyp = 3
/
ATOMIC_SPECIES
Rb 85.47 Rb.upf
Li 6.94 Li.upf
Tl 204.38 Tl.upf
CELL_PARAMETERS angstrom
-5.286 -6.394 -4.673
4.457 -9.257 -2.075
-2.184 -8.945 5.009
ATOMIC_POSITIONS angstrom
Rb 2.470 -7.332 -0.692
Li -1.242 -18.210 1.019
Rb -5.782 -12.289 -1.547
Tl -0.564 -11.639 -3.346
Tl -2.726 -13.292 1.362
Li -1.003 -9.174 -1.915
Li 0.060 -12.918 2.006
Tl -2.907 -19.241 -1.130
Rb -4.518 -16.097 -0.195
Rb -0.229 -15.933 -2.842
Li 0.298 -3.882 -0.928
Li -2.896 -3.503 -2.560
Li -1.759 -12.604 -1.093
Tl -0.609 -15.505 0.859
Rb -2.679 -9.576 1.242
Tl -1.002 -6.439 -1.401
Tl -3.300 -10.175 -3.390
Rb 2.123 -12.047 -0.809


! RbLiTl3 (PBE-GGA, optimized geometry); values from VASP
! Energy relative to the elements ... -18 kJ/mol of formula units
! Raw total energy ... -2.03 eV per atom
! Density of states at the Fermi level ... 3.570 states/eV/f.u.
! Polymorph energy (0 for the lowest one) ... 59 meV per atom
! SG ... Cmcm (63)
! Volume ... 31.51 Å³/atom
! Theoretical density ... 7436 kg/m3
&SYSTEM
  ibrav = 0, nat = 10, ntyp = 3
/
ATOMIC_SPECIES
Rb 85.47 Rb.upf
Li 6.94 Li.upf
Tl 204.38 Tl.upf
CELL_PARAMETERS angstrom
6.388 0.000 0.000
0.000 7.550 -0.006
0.000 -3.780 6.536
ATOMIC_POSITIONS angstrom
Rb 1.597 -0.005 4.355
Li 0.000 0.000 0.000
Li 3.194 0.000 0.000
Tl 4.792 1.696 5.334
Tl 1.597 3.770 4.136
Rb 4.791 3.775 2.175
Tl 1.597 5.476 1.191
Tl 1.597 2.074 1.196
Tl 4.791 0.000 2.394
Tl 4.792 -1.706 5.339


! Rb2LiTl (PBE-GGA, optimized geometry); values from VASP
! Energy relative to the elements ... 108 kJ/mol of formula units
! Raw total energy ... -1.27 eV per atom
! Density of states at the Fermi level ... 4.066 states/eV/f.u.
! Polymorph energy (0 for the lowest one) ... 129 meV per atom
! SG ... R-3m (166)
! Volume ... 50.34 Å³/atom
! Theoretical density ... 3152 kg/m3
&SYSTEM
  ibrav = 0, nat = 4, ntyp = 3
/
ATOMIC_SPECIES
Rb 85.47 Rb.upf
Tl 204.38 Tl.upf
Li 6.94 Li.upf
CELL_PARAMETERS angstrom
4.119 0.000 0.000
2.059 3.567 0.000
2.059 1.189 13.707
ATOMIC_POSITIONS angstrom
Rb 6.178 3.567 3.662
Tl 0.000 0.000 0.000
Li 4.119 2.378 6.854
Rb 2.059 1.189 10.045


! RbLiTl2 (PBE-GGA, optimized geometry); values from VASP
! Energy relative to the elements ... -36 kJ/mol of formula units
! Raw total energy ... -2.00 eV per atom
! Density of states at the Fermi level ... 2.298 states/eV/f.u.
! Polymorph energy (0 for the lowest one) ... 33 meV per atom
! SG ... P4/mmm (123)
! Volume ... 30.20 Å³/atom
! Theoretical density ... 6889 kg/m3
&SYSTEM
  ibrav = 0, nat = 4, ntyp = 3
/
ATOMIC_SPECIES
Rb 85.47 Rb.upf
Tl 204.38 Tl.upf
Li 6.94 Li.upf
CELL_PARAMETERS angstrom
-1.582 2.664 -1.959
-3.303 -1.184 1.059
0.336 5.452 7.143
ATOMIC_POSITIONS angstrom
Rb -2.275 3.466 3.122
Tl 0.062 1.009 1.321
Li -2.443 0.740 -0.450
Tl 0.274 4.444 5.821


! RbLiTl4 (PBE-GGA, optimized geometry); values from VASP
! Energy relative to the elements ... -58 kJ/mol of formula units
! Raw total energy ... -2.16 eV per atom
! Density of states at the Fermi level ... 2.846 states/eV/f.u.
! Polymorph energy (0 for the lowest one) ... 0 meV per atom
! SG ... P4/mmm (123)
! Volume ... 30.74 Å³/atom
! Theoretical density ... 8192 kg/m3
&SYSTEM
  ibrav = 0, nat = 6, ntyp = 3
/
ATOMIC_SPECIES
Li 6.94 Li.upf
Tl 204.38 Tl.upf
Rb 85.47 Rb.upf
CELL_PARAMETERS angstrom
0.064 3.390 1.707
-3.727 -0.264 0.664
2.399 -5.690 11.216
ATOMIC_POSITIONS angstrom
Li -0.664 -2.977 5.940
Tl -1.275 2.014 4.487
Rb 0.032 1.695 0.853
Tl 1.537 -1.878 7.898
Tl -2.802 -0.687 5.689
Tl 0.010 -4.579 9.100


! RbLiTl3 (PBE-GGA, optimized geometry); values from VASP
! Energy relative to the elements ... 334 kJ/mol of formula units
! Raw total energy ... -1.30 eV per atom
! Density of states at the Fermi level ... 7.848 states/eV/f.u.
! Polymorph energy (0 for the lowest one) ... 789 meV per atom
! SG ... Pm-3m (221)
! Volume ... 52.08 Å³/atom
! Theoretical density ... 4499 kg/m3
&SYSTEM
  ibrav = 0, nat = 5, ntyp = 3
/
ATOMIC_SPECIES
Rb 85.47 Rb.upf
Tl 204.38 Tl.upf
Li 6.94 Li.upf
CELL_PARAMETERS angstrom
6.386 0.000 0.000
0.000 6.386 0.000
0.000 0.000 6.386
ATOMIC_POSITIONS angstrom
Rb 0.000 0.000 0.000
Tl 3.193 0.000 0.000
Li 3.193 3.193 3.193
Tl 0.000 0.000 3.193
Tl 0.000 3.193 0.000


! Rb2LiTl12 (PBE-GGA, optimized geometry); values from VASP
! Energy relative to the elements ... -25 kJ/mol of formula units
! Raw total energy ... -2.17 eV per atom
! Density of states at the Fermi level ... 8.084 states/eV/f.u.
! SG ... P4/nbm (125)
! Volume ... 33.84 Å³/atom
! Theoretical density ... 8604 kg/m3
&SYSTEM
  ibrav = 0, nat = 30, ntyp = 3
/
ATOMIC_SPECIES
Tl 204.38 Tl.upf
Rb 85.47 Rb.upf
Li 6.94 Li.upf
CELL_PARAMETERS angstrom
7.126 0.000 0.000
0.000 7.126 0.000
0.000 0.000 19.997
ATOMIC_POSITIONS angstrom
Tl 5.941 4.747 8.661
Tl 4.747 1.184 8.661
Rb 3.563 0.000 4.946
Tl 2.379 5.941 8.661
Tl 2.379 1.184 11.336
Tl 0.000 0.000 6.751
Tl 3.563 3.563 3.548
Tl 1.782 1.780 1.574
Tl 0.000 0.000 3.548
Li 0.000 3.563 0.000
Tl 4.747 5.941 11.336
Tl 1.184 2.379 8.661
Tl 5.343 5.345 1.574
Tl 5.343 1.780 18.422
Tl 5.345 5.343 18.422
Li 3.563 0.000 0.000
Tl 1.782 5.345 18.422
Tl 1.780 1.782 18.422
Tl 0.000 0.000 16.448
Tl 0.000 0.000 13.245
Tl 1.780 5.343 1.574
Tl 3.563 3.563 6.751
Tl 3.563 3.563 13.245
Tl 1.184 4.747 11.336
Tl 3.563 3.563 16.448
Tl 5.345 1.782 1.574
Tl 5.941 2.379 11.336
Rb 0.000 3.563 4.946
Rb 0.000 3.563 15.051
Rb 3.563 0.000 15.051


! Rb3Li2Tl9 (PBE-GGA, optimized geometry); values from VASP
! Energy relative to the elements ... -116 kJ/mol of formula units
! Raw total energy ... -2.09 eV per atom
! Density of states at the Fermi level ... 7.702 states/eV/f.u.
! SG ... Immm (71)
! Volume ... 34.06 Å³/atom
! Theoretical density ... 7348 kg/m3
&SYSTEM
  ibrav = 0, nat = 14, ntyp = 3
/
ATOMIC_SPECIES
Li 6.94 Li.upf
Tl 204.38 Tl.upf
Rb 85.47 Rb.upf
CELL_PARAMETERS angstrom
5.019 0.000 1.272
2.149 9.602 2.057
0.128 0.655 10.030
ATOMIC_POSITIONS angstrom
Li 3.228 3.272 8.334
Tl 1.015 1.986 6.529
Rb 0.000 0.000 0.000
Tl 5.588 9.804 9.559
Li 4.067 6.985 5.025
Tl 1.898 5.891 3.049
Tl 1.707 0.453 3.800
Tl 2.331 3.214 1.339
Rb 3.116 7.117 8.776
Tl 6.280 8.271 6.830
Tl 5.398 4.366 10.310
Tl 1.138 5.128 6.044
Tl 4.964 7.042 12.020
Rb 4.179 3.140 4.583


! Rb2LiTl (PBE-GGA, optimized geometry); values from VASP
! Energy relative to the elements ... 58 kJ/mol of formula units
! Raw total energy ... -1.40 eV per atom
! Density of states at the Fermi level ... 7.998 states/eV/f.u.
! Polymorph energy (0 for the lowest one) ... 0 meV per atom
! SG ... Fm-3m (225)
! Volume ... 48.35 Å³/atom
! Theoretical density ... 3282 kg/m3
&SYSTEM
  ibrav = 0, nat = 4, ntyp = 3
/
ATOMIC_SPECIES
Li 6.94 Li.upf
Rb 85.47 Rb.upf
Tl 204.38 Tl.upf
CELL_PARAMETERS angstrom
0.000 4.590 4.590
4.590 0.000 4.590
4.590 4.590 0.000
ATOMIC_POSITIONS angstrom
Li 0.000 0.000 0.000
Rb 2.295 2.295 2.295
Tl 4.590 4.590 4.590
Rb 6.885 6.885 6.885